Compound: NaCa2ZnH
Source: Alexandria
Functional: GGA-PBE
Structure: relaxed

Properties
- ΔE to the lowest computed polymorph (meV per atom) = 0
- SG = No. 123

abc: 5.0923 5.0923 4.3803
angles: 90.00 90.00 90.00
Atoms (fractional coordinates):
Na1 0.0000 0.0000 0.5000
Zn1 0.5000 0.5000 0.5000
Ca1 0.0000 0.5000 0.0000
Ca2 0.5000 0.0000 0.0000
H1 0.0000 0.0000 0.0000